# Nb2CuAgS4 (PBE, optimized geometry)
data_Nb2CuAgS4
_chemical_formula_sum 'Nb2 Cu1 Ag1 S4'
_cell_length_a 3.352
_cell_length_b 3.352
_cell_length_c 15.389
_cell_angle_alpha 90.00
_cell_angle_beta 90.00
_cell_angle_gamma 120.00
_symmetry_space_group_name_H-M 'P 1'
_symmetry_Int_Tables_number 1
_symmetry_space_group_name_Hall 'P 1'
loop_
_atom_site_label
_atom_site_type_symbol
_atom_site_fract_x
_atom_site_fract_y
_atom_site_fract_z
Ag1 Ag 0.000 0.000 0.000
Cu1 Cu 0.000 0.000 0.500
Nb1 Nb 0.333 0.667 0.258
Nb2 Nb 0.667 0.333 0.742
S1 S 0.000 0.000 0.157
S2 S 0.000 0.000 0.359
S3 S 0.000 0.000 0.641
S4 S 0.000 0.000 0.843
# * energy: -6.188 eV per atom



# NbCuAgSn (PBE, optimized geometry)
data_NbCuAgSn
_chemical_formula_sum 'Nb1 Cu1 Ag1 Sn1'
_cell_length_a 4.660
_cell_length_b 4.660
_cell_length_c 4.660
_cell_angle_alpha 60.00
_cell_angle_beta 60.00
_cell_angle_gamma 60.00
_symmetry_space_group_name_H-M 'P 1'
_symmetry_Int_Tables_number 1
_symmetry_space_group_name_Hall 'P 1'
loop_
_atom_site_label
_atom_site_type_symbol
_atom_site_fract_x
_atom_site_fract_y
_atom_site_fract_z
Ag1 Ag 0.500 0.500 0.500
Cu1 Cu 0.750 0.750 0.750
Nb1 Nb 0.250 0.250 0.250
Sn1 Sn 0.000 0.000 0.000
# * excess energy over the best structure of this formula in the dataset: 0.00 kJ/mol of atoms



# NbZnCuAg (PBE, optimized geometry)
data_NbZnCuAg
_chemical_formula_sum 'Nb1 Zn1 Cu1 Ag1'
_cell_length_a 4.460
_cell_length_b 4.460
_cell_length_c 4.460
_cell_angle_alpha 60.00
_cell_angle_beta 60.00
_cell_angle_gamma 60.00
_symmetry_space_group_name_H-M 'P 1'
_symmetry_Int_Tables_number 1
_symmetry_space_group_name_Hall 'P 1'
loop_
_atom_site_label
_atom_site_type_symbol
_atom_site_fract_x
_atom_site_fract_y
_atom_site_fract_z
Ag1 Ag 0.250 0.250 0.250
Cu1 Cu 0.750 0.750 0.750
Nb1 Nb 0.500 0.500 0.500
Zn1 Zn 0.000 0.000 0.000
# * formation enthalpy at 0 K: 212 meV/atom
# * excess energy over the best structure of this formula in the dataset: 0.00 kJ/mol of atoms



# Nd2CuAgSb4 (PBE, optimized geometry)
data_Nd2CuAgSb4
_chemical_formula_sum 'Nd2 Cu1 Ag1 Sb4'
_cell_length_a 4.399
_cell_length_b 4.399
_cell_length_c 10.423
_cell_angle_alpha 90.00
_cell_angle_beta 90.00
_cell_angle_gamma 90.00
_symmetry_space_group_name_H-M 'P 1'
_symmetry_Int_Tables_number 1
_symmetry_space_group_name_Hall 'P 1'
loop_
_atom_site_label
_atom_site_type_symbol
_atom_site_fract_x
_atom_site_fract_y
_atom_site_fract_z
Ag1 Ag 0.000 0.000 0.000
Cu1 Cu 0.500 0.500 0.000
Nd1 Nd 0.500 0.000 0.257
Nd2 Nd 0.000 0.500 0.743
Sb1 Sb 0.000 0.500 0.166
Sb2 Sb 0.000 0.000 0.500
Sb3 Sb 0.500 0.500 0.500
Sb4 Sb 0.500 0.000 0.834
# * energy: -4.733 eV per atom



# CuNiAgPb (PBE, optimized geometry)
data_CuNiAgPb
_chemical_formula_sum 'Cu1 Ni1 Ag1 Pb1'
_cell_length_a 4.582
_cell_length_b 4.582
_cell_length_c 4.582
_cell_angle_alpha 60.00
_cell_angle_beta 60.00
_cell_angle_gamma 60.00
_symmetry_space_group_name_H-M 'P 1'
_symmetry_Int_Tables_number 1
_symmetry_space_group_name_Hall 'P 1'
loop_
_atom_site_label
_atom_site_type_symbol
_atom_site_fract_x
_atom_site_fract_y
_atom_site_fract_z
Ag1 Ag 0.250 0.250 0.250
Cu1 Cu 0.750 0.750 0.750
Ni1 Ni 0.500 0.500 0.500
Pb1 Pb 0.000 0.000 0.000
# * excess energy over the best structure of this formula in the dataset: 12.23 kJ/mol of atoms



# CuNiAgPb (PBE, optimized geometry)
data_CuNiAgPb
_chemical_formula_sum 'Cu1 Ni1 Ag1 Pb1'
_cell_length_a 4.523
_cell_length_b 4.523
_cell_length_c 4.523
_cell_angle_alpha 60.00
_cell_angle_beta 60.00
_cell_angle_gamma 60.00
_symmetry_space_group_name_H-M 'P 1'
_symmetry_Int_Tables_number 1
_symmetry_space_group_name_Hall 'P 1'
loop_
_atom_site_label
_atom_site_type_symbol
_atom_site_fract_x
_atom_site_fract_y
_atom_site_fract_z
Ag1 Ag 0.500 0.500 0.500
Cu1 Cu 0.250 0.250 0.250
Ni1 Ni 0.750 0.750 0.750
Pb1 Pb 0.000 0.000 0.000
# * excess energy over the best structure of this formula in the dataset: 0.00 kJ/mol of atoms



# CuSiNiAg (PBE, optimized geometry)
data_CuSiNiAg
_chemical_formula_sum 'Cu1 Si1 Ni1 Ag1'
_cell_length_a 4.210
_cell_length_b 4.210
_cell_length_c 4.210
_cell_angle_alpha 60.00
_cell_angle_beta 60.00
_cell_angle_gamma 60.00
_symmetry_space_group_name_H-M 'P 1'
_symmetry_Int_Tables_number 1
_symmetry_space_group_name_Hall 'P 1'
loop_
_atom_site_label
_atom_site_type_symbol
_atom_site_fract_x
_atom_site_fract_y
_atom_site_fract_z
Ag1 Ag 0.500 0.500 0.500
Cu1 Cu 0.750 0.750 0.750
Ni1 Ni 0.250 0.250 0.250
Si1 Si 0.000 0.000 0.000
# * excess energy over the best structure of this formula in the dataset: 0.00 kJ/mol of atoms



# CuSiNiAg (PBE, optimized geometry)
data_CuSiNiAg
_chemical_formula_sum 'Cu1 Si1 Ni1 Ag1'
_cell_length_a 4.222
_cell_length_b 4.222
_cell_length_c 4.222
_cell_angle_alpha 60.00
_cell_angle_beta 60.00
_cell_angle_gamma 60.00
_symmetry_space_group_name_H-M 'P 1'
_symmetry_Int_Tables_number 1
_symmetry_space_group_name_Hall 'P 1'
loop_
_atom_site_label
_atom_site_type_symbol
_atom_site_fract_x
_atom_site_fract_y
_atom_site_fract_z
Ag1 Ag 0.250 0.250 0.250
Cu1 Cu 0.750 0.750 0.750
Ni1 Ni 0.500 0.500 0.500
Si1 Si 0.000 0.000 0.000
# * excess energy over the best structure of this formula in the dataset: 11.90 kJ/mol of atoms



Mass density across the listed records, respectively: 5.39 8.89 8.73 7.80 10.67 11.10 8.13 8.06 Mg/m³.